(1)
The following is a PBE-GGA calculation of Nd6SiSe5 after structural relaxation, from Alexandria.

Properties
Its uncorrected formation energy is -1.709 eV per atom. For the density of states at the Fermi level, the calculation gives 5.80 states/eV/cell. The space-group type is No. 12. Its raw total energy is -72.0 eV/f.u.

Cell and atoms, written as POSCAR:
```
Nd6SiSe5
1.0
7.225 -0.117 -1.362
-3.908 6.078 -1.362
0.146 0.263 7.372
Si Nd Se
1 6 5
direct
0.000 0.000 0.000
0.402 0.081 0.242
0.919 0.598 0.758
0.241 0.241 0.759
0.759 0.759 0.241
0.081 0.402 0.242
0.598 0.919 0.758
0.832 0.168 0.500
0.667 0.333 0.000
0.500 0.500 0.500
0.333 0.667 0.000
0.168 0.832 0.500
```

---

(2)
The following is a PBE-GGA calculation of Sr2In2Ag after structural relaxation, from Alexandria.

Properties
For the density of states at the Fermi level, the calculation gives 6.79 states/eV/cell. The space-group type is No. 127. For the formation enthalpy at 0 K, the calculation gives -27.5 kJ per mole of atoms. Its raw total energy is -13.1 eV/f.u. Its polymorph energy (0 for the lowest one) is 95 meV per atom.

Cell and atoms, written as POSCAR:
```
Sr2In2Ag
1.0
-5.488 5.618 1.147
-2.131 -3.472 6.811
3.395 2.807 2.493
Sr Ag In
4 2 4
direct
0.170 0.670 0.500
0.670 0.830 0.500
0.830 0.330 0.500
0.330 0.170 0.500
0.000 0.000 0.000
0.500 0.500 0.000
0.366 0.866 0.000
0.866 0.634 0.000
0.634 0.134 0.000
0.134 0.366 0.000
```

---

(3)
The following is a PBE-GGA calculation of Zr2AlB2Ru5 after structural relaxation, from Alexandria.

Properties
For the density of states at the Fermi level, the calculation gives 11.82 states/eV/cell. The space-group type is No. 127. For the formation enthalpy at 0 K, the calculation gives -64.3 kJ per mole of atoms. Its raw total energy is -87.2 eV/f.u.

Cell and atoms, written as POSCAR:
```
Zr2AlB2Ru5
1.0
-0.332 1.019 -2.894
-9.280 -1.301 0.606
-1.019 8.768 3.204
Zr Al B Ru
4 2 4 10
direct
0.000 0.676 0.176
0.000 0.324 0.824
0.000 0.176 0.324
0.000 0.824 0.676
0.000 0.000 0.000
0.000 0.500 0.500
0.000 0.125 0.625
0.000 0.875 0.375
0.000 0.625 0.875
0.000 0.375 0.125
0.500 0.216 0.070
0.500 0.784 0.930
0.500 0.070 0.784
0.500 0.716 0.430
0.500 0.930 0.216
0.500 0.284 0.570
0.500 0.570 0.716
0.500 0.430 0.284
0.500 0.500 0.000
0.500 0.000 0.500
```

---

(4)
The following is a PBE-GGA calculation of CsTcHCl6 after structural relaxation, from Alexandria.

Properties
The space-group type is No. 1. Its raw total energy is -34.4 eV/f.u.

Cell and atoms, written as POSCAR:
```
CsTcHCl6
1.0
7.415 0.341 0.835
4.119 5.996 1.278
0.818 1.001 7.060
Cs Tc H Cl
1 1 1 6
direct
0.058 0.078 0.123
0.311 0.297 0.477
0.828 0.772 0.512
0.107 0.520 0.180
0.095 0.143 0.596
0.489 0.106 0.782
0.015 0.637 0.631
0.508 0.472 0.360
0.588 0.976 0.341
```

---

(5)
The following is a PBE-GGA calculation of LaTa2Cl after structural relaxation, from Alexandria.

Properties
Its uncorrected formation energy is 0.821 eV per atom. For the density of states at the Fermi level, the calculation gives 5.13 states/eV/cell. The space-group type is No. 123. Its raw total energy is -27.2 eV/f.u. Its polymorph energy (0 for the lowest one) is 1019 meV per atom.

Cell and atoms, written as POSCAR:
```
LaTa2Cl
1.0
-3.320 0.622 -0.894
0.817 -0.476 -3.364
-1.483 -7.009 0.631
Cl La Ta
1 1 2
direct
0.500 0.500 0.250
0.500 0.500 0.750
0.000 0.000 0.063
0.000 0.000 0.437
```

---

(6)
The following is a PBE-GGA calculation of ThZn2Cd10 after structural relaxation, from Alexandria.

Properties
For the density of states at the Fermi level, the calculation gives 4.15 states/eV/cell. The space-group type is No. 69. For the formation enthalpy at 0 K, the calculation gives -5.5 kJ per mole of atoms. Its raw total energy is -19.9 eV/f.u.

Cell and atoms, written as POSCAR:
```
ThZn2Cd10
1.0
2.123 5.246 1.232
-0.011 1.471 7.370
7.488 -0.108 1.170
Th Zn Cd
1 2 10
direct
0.000 0.000 0.000
0.000 0.500 0.000
0.500 0.500 0.000
0.349 0.642 0.660
0.651 0.358 0.340
0.991 0.358 0.660
0.009 0.642 0.340
0.000 0.000 0.500
0.500 0.000 0.500
0.286 0.220 0.207
0.714 0.780 0.793
0.506 0.780 0.207
0.494 0.220 0.793
```

---

(7)
The following is a PBE-GGA calculation of Mn2BeRh after structural relaxation, from Alexandria.

Properties
For the density of states at the Fermi level, the calculation gives 4.37 states/eV/cell. The space-group type is No. 166. For the formation enthalpy at 0 K, the calculation gives 13.8 kJ per mole of atoms. Its raw total energy is -28.8 eV/f.u.

Cell and atoms, written as POSCAR:
```
Mn2BeRh
1.0
-3.519 1.098 -7.260
-5.619 1.230 -5.764
-4.172 3.334 -6.147
Be Mn Rh
1 2 1
direct
0.750 0.750 0.750
0.005 0.005 0.005
0.495 0.495 0.495
0.250 0.250 0.250
```

---

(8)
The following is a PBE-GGA calculation of Cu2POs after structural relaxation, from Alexandria.

Properties
For the density of states at the Fermi level, the calculation gives 2.61 states/eV/cell. The space-group type is No. 216. For the formation enthalpy at 0 K, the calculation gives 26.8 kJ per mole of atoms. Its raw total energy is -23.7 eV/f.u.

Cell and atoms, written as POSCAR:
```
Cu2POs
1.0
4.143 0.000 0.000
2.071 3.588 0.000
2.071 1.196 3.383
Cu Os P
2 1 1
direct
0.000 0.000 0.000
0.250 0.250 0.250
0.500 0.500 0.500
0.750 0.750 0.750
```

---

(9)
The following is a PBE-GGA calculation of Zn2CoRh2 after structural relaxation, from Alexandria.

Properties
For the density of states at the Fermi level, the calculation gives 13.18 states/eV/cell. The space-group type is No. 127. For the formation enthalpy at 0 K, the calculation gives 2.2 kJ per mole of atoms. Its raw total energy is -24.2 eV/f.u. Its polymorph energy (0 for the lowest one) is 0 meV per atom.

Cell and atoms, written as POSCAR:
```
Zn2CoRh2
1.0
-4.855 3.224 -3.515
-4.580 -1.751 4.720
0.596 2.566 1.530
Co Zn Rh
2 4 4
direct
0.000 0.000 0.000
0.500 0.500 0.000
0.366 0.866 0.000
0.866 0.634 0.000
0.634 0.134 0.000
0.134 0.366 0.000
0.166 0.666 0.500
0.666 0.834 0.500
0.834 0.334 0.500
0.334 0.166 0.500
```

---

(10)
The following is a PBE-GGA calculation of LiTlTc2 after structural relaxation, from Alexandria.

Properties
For the density of states at the Fermi level, the calculation gives 3.04 states/eV/cell. The space-group type is No. 47. For the formation enthalpy at 0 K, the calculation gives 39.8 kJ per mole of atoms. Its raw total energy is -23.4 eV/f.u. Its polymorph energy (0 for the lowest one) is 255 meV per atom.

Cell and atoms, written as POSCAR:
```
LiTlTc2
1.0
-0.867 -3.088 0.108
1.893 -0.401 3.736
-4.018 1.205 2.165
Li Tc Tl
1 2 1
direct
0.000 0.500 0.500
0.000 0.000 0.000
0.500 0.500 0.000
0.500 0.000 0.500
```

---

(11)
The following is a PBE-GGA calculation of AcErNiSn after structural relaxation, from Alexandria.

Properties
For the density of states at the Fermi level, the calculation gives 1.73 states/eV/cell. The space-group type is No. 216. For the formation enthalpy at 0 K, the calculation gives -29.1 kJ per mole of atoms. Its raw total energy is -19.7 eV/f.u.

Cell and atoms, written as POSCAR:
```
AcErNiSn
1.0
-4.436 -2.546 -1.527
-1.258 -4.709 2.176
-4.147 -0.374 3.341
Ni Ac Sn Er
1 1 1 1
direct
0.750 0.750 0.750
0.500 0.500 0.500
0.250 0.250 0.250
0.000 0.000 0.000
```

---

(12)
The following is a PBE-GGA calculation of Cr2OsRu after structural relaxation, from Alexandria.

Properties
For the density of states at the Fermi level, the calculation gives 4.05 states/eV/cell. The space-group type is No. 25. For the formation enthalpy at 0 K, the calculation gives 13.6 kJ per mole of atoms. Its raw total energy is -39.2 eV/f.u. Its polymorph energy (0 for the lowest one) is 46 meV per atom.

Cell and atoms, written as POSCAR:
```
Cr2OsRu
1.0
2.673 0.000 0.000
0.000 3.701 0.000
0.000 0.000 5.294
Cr Os Ru
2 1 1
direct
0.000 0.000 0.002
0.500 0.500 0.248
0.000 0.000 0.480
0.500 0.500 0.770
```